[1]
MnHg2S3: optimized geometry, GGA-PBE.

It has space group P3m1 (No. 156), with a = 4.1530 Å, b = 4.1530 Å, c = 10.1141 Å, α = 90.00°, β = 90.00° and γ = 120.00°. The asymmetric unit holds Mn at (0.0000, 0.0000, 0.0000), Hg at (0.3333, 0.6667, 0.6807), Hg at (0.6667, 0.3333, 0.3318), S at (0.0000, 0.0000, 0.2363), S at (0.3333, 0.6667, 0.9365) and S at (0.6667, 0.3333, 0.5859).

For the total energy, the calculation gives -3.948 eV/atom. The total moment comes out at 4.986 μB/f.u. As for the crystal system: trigonal. The uncorrected formation energy is -0.255 eV/atom. The density is 6.1 g cm⁻³. Its volume is 151.1 Å³/f.u.

---

[2]
HoTl2Zn: optimized geometry, GGA-PBE.

It has space group P4/mmm (No. 123), with a = 3.705 Å, b = 3.705 Å, c = 7.189 Å, α = 90.00°, β = 90.00° and γ = 90.00°. The asymmetric unit holds Ho at (0.000, 0.000, 0.000), Tl at (0.500, 0.500, 0.278) and Zn at (0.000, 0.000, 0.500).

For the total energy, the calculation gives -2.690 eV/atom. The total moment comes out at 0.291 μB/f.u. The value obtained for the formation energy is -4.2 kJ per mole of atoms. As for the crystal system: tetragonal. The density is 10.8 g cm⁻³. Its volume is 98.7 Å³/f.u.

---

[3]
InGa2Hg2: optimized geometry, GGA-PBE.

It has space group P4/mbm (No. 127), with a = 8.537 Å, b = 8.537 Å, c = 3.288 Å, α = 90.00°, β = 90.00° and γ = 90.00°. The asymmetric unit holds In at (0.000, 0.000, 0.000), Ga at (0.126, 0.374, 0.500) and Hg at (0.171, 0.671, 0.000).

For the total energy, the calculation gives -1.804 eV/atom. The total moment comes out at 0.000 μB/f.u. The value obtained for the formation energy is 7.3 kJ per mole of atoms. The energy above the lowest structure with this stoichiometry comes out at 0.024 eV/atom. As for the crystal system: tetragonal. The density is 9.1 g cm⁻³. Its volume is 119.8 Å³/f.u.

---

[4]
Tb3Ho2Ga4: optimized geometry, GGA-PBE.

It has space group C2/m (No. 12), with a = 10.611 Å, b = 4.445 Å, c = 9.606 Å, α = 90.00°, β = 91.33° and γ = 90.00°. The asymmetric unit holds Tb at (0.000, 0.000, 0.000), Tb at (0.125, 0.500, 0.609), Ho at (0.174, 0.500, 0.229), Ga at (0.078, 0.000, 0.394) and Ga at (0.194, 0.500, 0.923).

For the total energy, the calculation gives -4.370 eV/atom. The total moment comes out at 0.000 μB/f.u. The value obtained for the formation energy is -44.7 kJ per mole of atoms. As for the crystal system: monoclinic. The density is 8.0 g cm⁻³. Its volume is 226.5 Å³/f.u.

---

[5]
HgBIO2: optimized geometry, GGA-PBE.

It has space group P4/mmm (No. 123), with a = 3.807 Å, b = 3.807 Å, c = 5.135 Å, α = 90.00°, β = 90.00° and γ = 90.00°. The asymmetric unit holds Hg at (0.000, 0.000, 0.000), B at (0.500, 0.500, 0.500), I at (0.500, 0.500, 0.000) and O at (0.000, 0.500, 0.500).

For the total energy, the calculation gives -3.107 eV/atom. The total moment comes out at 0.000 μB/f.u. The energy above the lowest structure with this stoichiometry comes out at 0.000 eV/atom. As for the crystal system: tetragonal. The uncorrected formation energy is 0.582 eV/atom. The density is 8.3 g cm⁻³. Its volume is 74.4 Å³/f.u.

---

[6]
LiP2Au: optimized geometry, GGA-PBE.

It has space group Pmmm (No. 47), with a = 2.719 Å, b = 4.149 Å, c = 5.734 Å, α = 90.00°, β = 90.00° and γ = 90.00°. The asymmetric unit holds Li at (0.000, 0.000, 0.000), P at (0.500, 0.500, 0.192) and Au at (0.000, 0.000, 0.500).

For the total energy, the calculation gives -3.977 eV/atom. The total moment comes out at 0.000 μB/f.u. The value obtained for the formation energy is 2.4 kJ per mole of atoms. The energy above the lowest structure with this stoichiometry comes out at 0.377 eV/atom. As for the crystal system: orthorhombic. The density is 6.8 g cm⁻³. Its volume is 64.7 Å³/f.u.

---

- Which of these has the lowest volume?
  LiP2Au

---

- Which of these has the lowest volume?
  LiP2Au